(1)
Computed, not measured: a relaxed structure of ErSc3 at the PBE-GGA level of DFT.

Symmetry: Imm2, No. 44
Energy above the lowest structure with this stoichiometry (meV per atom): 0
Magnetization (μB/f.u.): 0.02
Energy relative to the elements (eV/atom): 0.016
Theoretical density (Mg/m³): 4.82
Fermi-level density of states (states/eV per cell): 7.5

Unit cell a=3.3865 b=5.8413 c=6.2496 alpha=117.86 beta=105.72 gamma=90.00
Closest atoms and distances in Å follow each position.
Fractional coordinates of all 4 atoms:
Er1 0.0000 0.9960 0.0000  10 Sc 3.26-3.40, 2 Er 3.39
Sc1 0.2459 0.5812 0.4917  9 Sc 3.24-3.39, 3 Er 3.26-3.30
Sc2 0.7541 0.0895 0.5083  9 Sc 3.24-3.39, 3 Er 3.26-3.30
Sc3 0.5000 0.4999 0.0000  8 Sc 3.24-3.39, 4 Er 3.36-3.40

=====

(2)
Computed, not measured: a relaxed structure of K3MgIn8 at the PBE-GGA level of DFT.

Symmetry: R3m, No. 160
Magnetization (μB/f.u.): 0.00
Energy relative to the elements (eV/atom): -0.064
Theoretical density (Mg/m³): 4.80
Fermi-level density of states (states/eV per cell): 6.0

Unit cell a=6.4029 b=6.4029 c=10.9622 alpha=73.02 beta=73.02 gamma=60.00
Closest atoms and distances in Å follow each position.
Fractional coordinates of all 12 atoms:
In1 0.6901 0.6901 0.9298  6 In 3.18-3.28
In2 0.1874 0.1874 0.4379  6 In 3.10-3.14
In3 0.9350 0.4363 0.1923  6 In 3.14-3.28
In4 0.4363 0.4363 0.1923  6 In 3.14-3.28
In5 0.9399 0.9399 0.6786  6 In 3.10-3.21, 1 Mg 3.46
In6 0.4363 0.9350 0.1923  6 In 3.14-3.28
In7 0.4416 0.9399 0.6786  6 In 3.10-3.21, 1 Mg 3.46
In8 0.9399 0.4416 0.6786  6 In 3.10-3.21, 1 Mg 3.46
Mg1 0.8684 0.8684 0.3947  12 In 3.46-3.82, 3 K 3.85
K1 0.9983 0.9983 0.0052  12 In 3.74-3.85, 3 K 3.94, 1 Mg 4.02
K2 0.5007 0.5007 0.4978  12 In 3.65-3.75, 3 Mg 3.85, 1 K 3.86
K3 0.3760 0.3760 0.8719  12 In 3.74-3.79, 4 K 3.86-3.94

=====

(3)
Computed, not measured: a relaxed structure of LiCu2Pb at the PBE-GGA level of DFT.

Symmetry: P4/mmm, No. 123
Magnetization (μB/f.u.): 0.00
Energy relative to the elements (eV/atom): 0.090
Theoretical density (Mg/m³): 8.39
Fermi-level density of states (states/eV per cell): 1.1

Unit cell a=3.3665 b=3.3665 c=5.9593 alpha=90.00 beta=90.00 gamma=89.97
Closest atoms and distances in Å follow each position.
Fractional coordinates of all 4 atoms:
Li1 0.5000 0.5000 0.2500  8 Cu 2.68, 2 Pb 2.98
Cu1 0.0000 0.0000 0.4582  1 Cu 2.48, 4 Li 2.68
Cu2 0.0000 0.0000 0.0418  1 Cu 2.48, 4 Li 2.68
Pb1 0.5000 0.5000 0.7500  8 Cu 2.95, 2 Li 2.98

=====

(4)
Computed, not measured: a relaxed structure of Ga3Au8 at the PBE-GGA level of DFT.

Symmetry: R-3, No. 148
Energy above the lowest structure with this stoichiometry (meV per atom): 64
Magnetization (μB/f.u.): 0.00
Energy relative to the elements (eV/atom): -0.001
Theoretical density (Mg/m³): 13.39
Fermi-level density of states (states/eV per cell): 5.5

Unit cell a=6.2613 b=6.2613 c=6.2613 alpha=103.43 beta=103.43 gamma=103.43
Closest atoms and distances in Å follow each position.
Fractional coordinates of all 11 atoms:
Au1 0.0679 0.8597 0.3407  2 Ga 2.51-2.65, 3 Au 2.76
Au2 0.6593 0.9321 0.1403  2 Ga 2.51-2.65, 3 Au 2.76
Au3 0.6780 0.6780 0.6780  4 Au 2.83-3.00, 3 Ga 2.84
Au4 0.8597 0.3407 0.0679  2 Ga 2.51-2.65, 3 Au 2.76
Au5 0.1403 0.6593 0.9321  2 Ga 2.51-2.65, 3 Au 2.76
Au6 0.9321 0.1403 0.6593  2 Ga 2.51-2.65, 3 Au 2.76
Au7 0.3407 0.0679 0.8597  2 Ga 2.51-2.65, 3 Au 2.76
Au8 0.3220 0.3220 0.3220  4 Au 2.83-3.00, 3 Ga 2.84
Ga1 0.5000 0.0000 0.5000  4 Au 2.51-2.65
Ga2 0.0000 0.5000 0.5000  4 Au 2.51-2.65
Ga3 0.5000 0.5000 0.0000  4 Au 2.51-2.65

=====

(5)
Computed, not measured: a relaxed structure of KPa4S12 at the PBE-GGA level of DFT.

VASP energy (eV/atom): -6.39
Symmetry: Im-3, No. 204
Magnetization (μB/f.u.): 0.00
Theoretical density (Mg/m³): 3.90
Fermi-level density of states (states/eV per cell): 6.4

Unit cell a=9.0705 b=9.0705 c=9.0705 alpha=109.47 beta=109.47 gamma=109.47
Closest atoms and distances in Å follow each position.
Fractional coordinates of all 17 atoms:
K1 0.0000 0.0000 0.0000  12 S 3.66
S1 0.7511 0.5060 0.7550  2 Pa 2.62
S2 0.4940 0.2450 0.2489  2 Pa 2.62
S3 0.2489 0.4940 0.2450  2 Pa 2.62
S4 0.2450 0.7511 0.9961  2 Pa 2.62
S5 0.7550 0.2489 0.0039  2 Pa 2.62
S6 0.2489 0.0039 0.7550  2 Pa 2.62
S7 0.5060 0.7550 0.7511  2 Pa 2.62
S8 0.2450 0.2489 0.4940  2 Pa 2.62
S9 0.0039 0.7550 0.2489  2 Pa 2.62
S10 0.7511 0.9961 0.2450  2 Pa 2.62
S11 0.7550 0.7511 0.5060  2 Pa 2.62
S12 0.9961 0.2450 0.7511  2 Pa 2.62
Pa1 0.0000 0.0000 0.5000  6 S 2.62
Pa2 0.5000 0.0000 0.0000  6 S 2.62
Pa3 0.5000 0.5000 0.5000  6 S 2.62
Pa4 0.0000 0.5000 0.0000  6 S 2.62

=====

(6)
Computed, not measured: a relaxed structure of Al2AuBr at the PBE-GGA level of DFT.

Symmetry: Cmmm, No. 65
Energy above the lowest structure with this stoichiometry (meV per atom): 281
Magnetization (μB/f.u.): 0.00
Theoretical density (Mg/m³): 6.53
Fermi-level density of states (states/eV per cell): 1.1

Unit cell a=3.4044 b=3.4044 c=7.3865 alpha=90.00 beta=90.00 gamma=100.73
Closest atoms and distances in Å follow each position.
Fractional coordinates of all 4 atoms:
Al1 0.0000 0.0000 0.0443  2 Au 2.65
Al2 0.0000 0.0000 0.4557  2 Au 2.65
Au1 0.5000 0.5000 0.2500  4 Al 2.65
Br1 0.5000 0.5000 0.7500  8 Al 3.07-3.41, 4 Br 3.40

=====

(7)
Computed, not measured: a relaxed structure of Nd3TmTe6 at the PBE-GGA level of DFT.

Symmetry: P2_1/c, No. 14
Energy above the lowest structure with this stoichiometry (meV per atom): 0
Magnetization (μB/f.u.): 0.00
Theoretical density (Mg/m³): 6.53

Unit cell a=7.4447 b=8.2832 c=11.2724 alpha=90.00 beta=91.41 gamma=90.00
Closest atoms and distances in Å follow each position.
Fractional coordinates of all 20 atoms:
Nd1 0.0514 0.6191 0.2447  6 Te 3.16-3.37
Nd2 0.0000 0.0000 0.5000  6 Te 3.10-3.15
Nd3 0.5514 0.8809 0.7447  6 Te 3.16-3.37
Nd4 0.4486 0.1191 0.2553  6 Te 3.16-3.37
Nd5 0.9486 0.3809 0.7553  6 Te 3.16-3.37
Nd6 0.5000 0.5000 0.0000  6 Te 3.10-3.15
Te1 0.6667 0.1723 0.9200  1 Tm 2.98, 3 Nd 3.13-3.32
Te2 0.3367 0.5513 0.7425  1 Tm 3.05, 3 Nd 3.15-3.22
Te3 0.1565 0.3196 0.0765  1 Tm 3.01, 3 Nd 3.10-3.37
Te4 0.3435 0.8196 0.4235  1 Tm 3.01, 3 Nd 3.10-3.37
Te5 0.1633 0.0513 0.7575  1 Tm 3.05, 3 Nd 3.15-3.22
Te6 0.8367 0.9487 0.2425  1 Tm 3.05, 3 Nd 3.15-3.22
Te7 0.3333 0.8277 0.0800  1 Tm 2.98, 3 Nd 3.13-3.32
Te8 0.8435 0.6804 0.9235  1 Tm 3.01, 3 Nd 3.10-3.37
Te9 0.6633 0.4487 0.2575  1 Tm 3.05, 3 Nd 3.15-3.22
Te10 0.8333 0.6723 0.5800  1 Tm 2.98, 3 Nd 3.13-3.32
Te11 0.1667 0.3277 0.4200  1 Tm 2.98, 3 Nd 3.13-3.32
Te12 0.6565 0.1804 0.5765  1 Tm 3.01, 3 Nd 3.10-3.37
Tm1 0.0000 0.0000 0.0000  6 Te 2.98-3.05
Tm2 0.5000 0.5000 0.5000  6 Te 2.98-3.05

=====

(8)
Computed, not measured: a relaxed structure of NbV4Os at the PBE-GGA level of DFT.

Symmetry: P-1, No. 2
Energy above the lowest structure with this stoichiometry (meV per atom): 0
Magnetization (μB/f.u.): 0.00
Energy relative to the elements (eV/atom): -0.075
Theoretical density (Mg/m³): 9.27
Fermi-level density of states (states/eV per cell): 12.3

Unit cell a=5.1144 b=9.8184 c=5.1108 alpha=99.14 beta=61.63 gamma=128.07
Closest atoms and distances in Å follow each position.
Fractional coordinates of all 12 atoms:
V1 0.8033 0.0917 0.5351  5 V 2.58-2.68, 3 Nb 2.66-2.87, 1 Os 2.79
V2 0.7025 0.9143 0.9654  5 V 2.57-2.68, 2 Os 2.66-2.83, 1 Nb 2.80
V3 0.1967 0.9083 0.4649  5 V 2.58-2.68, 3 Nb 2.66-2.87, 1 Os 2.79
V4 0.8539 0.4157 0.8188  5 V 2.57-2.68, 1 Os 2.61, 2 Nb 2.69
V5 0.1461 0.5843 0.1812  5 V 2.57-2.68, 1 Os 2.61, 2 Nb 2.69
V6 0.2975 0.0857 0.0346  5 V 2.57-2.68, 2 Os 2.66-2.83, 1 Nb 2.80
V7 0.3550 0.4228 0.3105  5 V 2.58-2.70, 2 Os 2.58-2.64, 1 Nb 2.72
V8 0.6450 0.5772 0.6895  5 V 2.58-2.70, 2 Os 2.58-2.64, 1 Nb 2.72
Os1 0.9552 0.7432 0.0409  6 V 2.58-2.83, 2 Nb 2.61-2.63
Os2 0.0448 0.2568 0.9591  6 V 2.58-2.83, 2 Nb 2.61-2.63
Nb1 0.5329 0.2491 0.4642  2 Os 2.61-2.63, 8 V 2.66-2.88
Nb2 0.4671 0.7509 0.5358  2 Os 2.61-2.63, 8 V 2.66-2.88